# 1
Here is Pu2MnPd after structural relaxation from the Alexandria database. Energies are from GGA-PBE.

Computed properties:
The formation energy comes out at -0.130 eV per atom. As for the space-group type: P4/mmm (123). Its crystal system is tetragonal. The raw total energy is -43.5 eV for the cell shown. For the mass density, the calculation gives 13.18 Mg/m³. For the magnetic moment, the calculation gives 8.2 μB/cell. The density of states at the Fermi level is 2.9384 states/eV/atom.

Cell lengths 3.4535, 3.4535, 6.8597 Å; angles 90.00, 90.00, 90.00 degrees
Last column: nearest neighbours and their distance in Å.
Sites, in units of the cell vectors:
Pu: 0.0000 0.0000 0.2394  4 Mn 2.94, 4 Pd 3.03, 1 Pu 3.29
Pu: 0.0000 0.0000 0.7606  4 Mn 2.94, 4 Pd 3.03, 1 Pu 3.29
Pd: 0.5000 0.5000 0.5000  8 Pu 3.03
Mn: 0.5000 0.5000 0.0000  8 Pu 2.94

# 2
Here is PuMnPd6 after structural relaxation from the Alexandria database. Energies are from GGA-PBE.

Computed properties:
The formation energy comes out at -0.377 eV per atom. As for the space-group type: P4/mmm (123). Its crystal system is tetragonal. The raw total energy is -57.7 eV for the cell shown. For the mass density, the calculation gives 11.83 Mg/m³. For the magnetic moment, the calculation gives 8.6 μB/cell. The density of states at the Fermi level is 2.0069 states/eV/atom.

Cell lengths 4.0754, 4.0754, 7.9261 Å; angles 90.00, 90.00, 90.00 degrees
Last column: nearest neighbours and their distance in Å.
Sites, in units of the cell vectors:
Pu: 0.0000 0.0000 0.5000  12 Pd 2.88-2.90
Pd: 0.5000 0.5000 0.0000  8 Pd 2.78, 4 Mn 2.88
Pd: 0.0000 0.5000 0.2392  2 Mn 2.78, 8 Pd 2.78-2.90, 2 Pu 2.90
Pd: 0.5000 0.0000 0.7608  8 Pd 2.78-2.90, 2 Mn 2.78, 2 Pu 2.90
Pd: 0.0000 0.5000 0.7608  8 Pd 2.78-2.90, 2 Mn 2.78, 2 Pu 2.90
Mn: 0.0000 0.0000 0.0000  12 Pd 2.78-2.88
Pd: 0.5000 0.5000 0.5000  4 Pu 2.88, 8 Pd 2.90
Pd: 0.5000 0.0000 0.2392  2 Mn 2.78, 8 Pd 2.78-2.90, 2 Pu 2.90

# 3
Here is Pu2MnPd9 after structural relaxation from the Alexandria database. Energies are from GGA-PBE.

Computed properties:
The formation energy comes out at -0.434 eV per atom. As for the space-group type: P4/mmm (123). Its crystal system is tetragonal. The raw total energy is -89.8 eV for the cell shown. For the mass density, the calculation gives 12.29 Mg/m³. For the magnetic moment, the calculation gives 12.9 μB/cell. The density of states at the Fermi level is 2.8173 states/eV/atom.

Cell lengths 4.0981, 4.0981, 12.0758 Å; angles 90.00, 90.00, 90.00 degrees
Last column: nearest neighbours and their distance in Å.
Sites, in units of the cell vectors:
Pd: 0.0000 0.5000 0.5000  8 Pd 2.90-2.91, 4 Pu 2.95
Pd: 0.5000 0.5000 0.0000  8 Pd 2.79, 4 Mn 2.90
Pd: 0.5000 0.5000 0.3285  4 Pu 2.90, 8 Pd 2.91-2.92
Pd: 0.5000 0.0000 0.5000  8 Pd 2.90-2.91, 4 Pu 2.95
Pu: 0.0000 0.0000 0.3248  12 Pd 2.89-2.95
Pd: 0.5000 0.0000 0.1564  2 Mn 2.79, 8 Pd 2.79-2.92, 2 Pu 2.89
Pd: 0.5000 0.5000 0.6715  4 Pu 2.90, 8 Pd 2.91-2.92
Pd: 0.0000 0.5000 0.1564  2 Mn 2.79, 8 Pd 2.79-2.92, 2 Pu 2.89
Pd: 0.0000 0.5000 0.8436  8 Pd 2.79-2.92, 2 Mn 2.79, 2 Pu 2.89
Mn: 0.0000 0.0000 0.0000  12 Pd 2.79-2.90
Pu: 0.0000 0.0000 0.6752  12 Pd 2.89-2.95
Pd: 0.5000 0.0000 0.8436  2 Mn 2.79, 8 Pd 2.79-2.92, 2 Pu 2.89

# 4
Here is PuMnPdRu after structural relaxation from the Alexandria database. Energies are from GGA-PBE.

Computed properties:
The formation energy comes out at -0.066 eV per atom. As for the space-group type: F-43m (216). Its crystal system is cubic. The raw total energy is -38.2 eV for the cell shown. For the mass density, the calculation gives 12.03 Mg/m³. For the magnetic moment, the calculation gives 8.7 μB/cell. The density of states at the Fermi level is 1.3482 states/eV/atom.

Cell lengths 4.6237, 4.6237, 4.6237 Å; angles 60.00, 60.00, 60.00 degrees
Last column: nearest neighbours and their distance in Å.
Sites, in units of the cell vectors:
Pu: 0.5000 0.5000 0.5000  4 Pd 2.83, 4 Ru 2.83
Mn: 0.0000 0.0000 0.0000  4 Ru 2.83, 4 Pd 2.83
Ru: 0.2500 0.2500 0.2500  4 Pu 2.83, 4 Mn 2.83
Pd: 0.7500 0.7500 0.7500  4 Mn 2.83, 4 Pu 2.83

# 5
Here is Rb2MnPd after structural relaxation from the Alexandria database. Energies are from GGA-PBE.

Computed properties:
The formation energy comes out at 0.814 eV per atom. For the relative energy among the computed polymorphs, the calculation gives 0.350 eV/atom. As for the space-group type: Fm-3m (225). Its crystal system is cubic. The raw total energy is -13.0 eV for the cell shown. For the mass density, the calculation gives 3.82 Mg/m³. For the magnetic moment, the calculation gives 5.0 μB/cell. The density of states at the Fermi level is 1.5257 states/eV/atom.

Cell lengths 5.8918, 5.8918, 5.8918 Å; angles 60.00, 60.00, 60.00 degrees
Last column: nearest neighbours and their distance in Å.
Sites, in units of the cell vectors:
Rb: 0.2500 0.2500 0.2500  4 Pd 3.61, 4 Mn 3.61
Mn: 0.0000 0.0000 0.0000  8 Rb 3.61
Pd: 0.5000 0.5000 0.5000  8 Rb 3.61
Rb: 0.7500 0.7500 0.7500  4 Mn 3.61, 4 Pd 3.61

# 6
Here is Rb2MnPd after structural relaxation from the Alexandria database. Energies are from GGA-PBE.

Computed properties:
The formation energy comes out at 0.465 eV per atom. For the relative energy among the computed polymorphs, the calculation gives 0.000 eV/atom. As for the space-group type: I-42d (122). Its crystal system is tetragonal. The raw total energy is -28.9 eV for the cell shown. For the mass density, the calculation gives 2.72 Mg/m³. For the magnetic moment, the calculation gives 9.8 μB/cell. The density of states at the Fermi level is 0.6536 states/eV/atom.

Cell lengths 12.7715, 12.7715, 9.3676 Å; angles 47.02, 47.02, 90.00 degrees
Last column: nearest neighbours and their distance in Å.
Sites, in units of the cell vectors:
Mn: 0.2500 0.7500 0.5000  2 Pd 2.49
Pd: 0.7500 0.2500 0.5000  2 Mn 2.49
Rb: 0.9494 0.6250 0.2500  2 Pd 3.39
Pd: 0.0000 0.0000 0.0000  2 Mn 2.49
Rb: 0.3750 0.1994 0.7500  2 Pd 3.39
Rb: 0.8750 0.0506 0.7500  2 Pd 3.39
Mn: 0.5000 0.5000 0.0000  2 Pd 2.49
Rb: 0.8006 0.1250 0.2500  2 Pd 3.39